Entry 1:
## TiBeCd2 (GGA-PBE)

Data for a relaxed structure of TiBeCd2.

Cell: 7.4132 7.4132 5.3538 Å, 90.00 90.00 90.00°
Fractional positions:
Ti 0.0000 0.0000 0.0000
Ti 0.0000 0.5000 0.2500
Ti 0.5000 0.0000 0.7500
Ti 0.5000 0.5000 0.5000
Be 0.0000 0.0000 0.5000
Be 0.0000 0.5000 0.7500
Be 0.5000 0.0000 0.2500
Be 0.5000 0.5000 0.0000
Cd 0.1914 0.2500 0.6250
Cd 0.2500 0.6914 0.8750
Cd 0.2500 0.8086 0.3750
Cd 0.3086 0.2500 0.1250
Cd 0.6914 0.7500 0.1250
Cd 0.7500 0.1914 0.3750
Cd 0.7500 0.3086 0.8750
Cd 0.8086 0.7500 0.6250

Calculated values
* E_form: 462 meV/atom


Entry 2:
## MgCoCu (GGA-PBE)

Data for a relaxed structure of MgCoCu.

Cell: 4.7132 4.9381 7.1337 Å, 90.00 90.00 90.00°
Fractional positions:
Mg 0.0000 0.2500 0.1209
Mg 0.0000 0.7500 0.8791
Mg 0.5000 0.2500 0.3791
Mg 0.5000 0.7500 0.6209
Co 0.2500 0.2500 0.7500
Co 0.2500 0.7500 0.2500
Co 0.7500 0.2500 0.7500
Co 0.7500 0.7500 0.2500
Cu 0.0000 0.0000 0.5000
Cu 0.0000 0.5000 0.5000
Cu 0.5000 0.0000 0.0000
Cu 0.5000 0.5000 0.0000

Calculated values
* E_form: -15 meV/atom
* relative energy among the computed polymorphs: 0.00 eV per formula unit


Entry 3:
## TiReC3 (GGA-PBE)

Data for a relaxed structure of TiReC3.

Cell: 3.9015 3.9015 3.9015 Å, 90.00 90.00 90.00°
Fractional positions:
Ti 0.0000 0.0000 0.0000
Re 0.5000 0.5000 0.5000
C 0.0000 0.0000 0.5000
C 0.0000 0.5000 0.0000
C 0.5000 0.0000 0.0000

Calculated values
* E_form: 2404 meV/atom
* relative energy among the computed polymorphs: 4.89 eV per formula unit


Entry 4:
## Ce2ThH (GGA-PBE)

Data for a relaxed structure of Ce2ThH.

Cell: 3.4785 3.4785 26.1629 Å, 90.00 90.00 120.00°
Fractional positions:
Ce 0.0000 0.0000 0.0000
Ce 0.0000 0.0000 0.2196
Ce 0.3333 0.6667 0.6667
Ce 0.3333 0.6667 0.8863
Ce 0.6667 0.3333 0.3333
Ce 0.6667 0.3333 0.5530
Th 0.0000 0.0000 0.4432
Th 0.3333 0.6667 0.1099
Th 0.6667 0.3333 0.7765
H 0.0000 0.0000 0.6091
H 0.3333 0.6667 0.2758
H 0.6667 0.3333 0.9424

Calculated values
* relative energy among the computed polymorphs: 0.08 eV per formula unit